Ba2CaYCo8O14 after structural relaxation. Source: Alexandria, functional PBE with a Hubbard U.

Computed properties:
ΔE to the lowest computed polymorph: 407 meV/atom
N(E_F): 4.64 states/eV/f.u.

POSCAR file:
```
Ba2CaYCo8O14
1.0
3.3763 -5.8480 0.0000
3.3763 5.8480 0.0000
0.0000 0.0000 9.9058
O Co Ba Ca Y
14 8 2 1 1
direct
0.0070 0.5035 0.3847 O
0.4965 0.5035 0.3847 O
0.7921 0.2079 0.6835 O
0.4158 0.2079 0.6835 O
0.4965 0.9930 0.3847 O
0.7921 0.5842 0.6835 O
0.2681 0.1341 0.1489 O
0.1852 0.3704 0.8353 O
0.8659 0.1341 0.1489 O
0.1852 0.8148 0.8353 O
0.8659 0.7319 0.1489 O
0.3333 0.6667 0.5785 O
0.6296 0.8148 0.8353 O
0.3333 0.6667 0.2083 O
0.6759 0.8380 0.2302 Co
0.5227 0.0454 0.7756 Co
0.3333 0.6667 0.4012 Co
0.1620 0.3241 0.2302 Co
0.9546 0.4773 0.7756 Co
0.3333 0.6667 0.7512 Co
0.5227 0.4773 0.7756 Co
0.1620 0.8380 0.2302 Co
0.0000 0.0000 0.6054 Ba
0.6667 0.3333 0.0800 Ba
0.0000 0.0000 0.9731 Ca
0.6667 0.3333 0.4838 Y
```